# 1
This record from Alexandria via LeMat-Bulk describes a geometry-optimized Ho8Sc3 structure. The functional is PBE.

Computed properties:
N(E_F) = 36.1 states/eV/cell
formation energy = 0.493 eV per atom
energy above the lowest structure with this stoichiometry = 448 meV/atom
electronic total energy = -150.58 eV per cell
M_tot = 0.00 μB per formula unit

abc: 9.3747 9.3747 13.1093
angles: 90.00 90.00 120.00
Space group R-3 (No. 148, hexagonal axes)
Asymmetric unit:
Ho (0.0000, 0.0000, 0.1214) x6
Ho (0.0398, 0.2355, 0.6134) x18
Sc (0.0000, 0.5000, 0.5000) x9

***

# 2
This record from Alexandria via LeMat-Bulk describes a geometry-optimized Na16Tl12Pb structure. The functional is PBE.

Computed properties:
N(E_F) = 25.0 states/eV/cell
formation energy = -0.102 eV per atom
electronic total energy = -112.32 eV per cell
M_tot = 0.00 μB per formula unit

abc: 12.030 16.971 10.281
angles: 90.00 125.03 90.00
Space group Cm (No. 8)
Asymmetric unit:
Na (0.000, 0.000, 0.000) x2
Na (0.002, 0.000, 0.341) x2
Na (0.015, 0.300, 0.648) x4
Na (0.053, 0.367, 0.343) x4
Na (0.209, 0.207, 0.030) x4
Na (0.305, 0.000, 0.057) x2
Na (0.332, 0.330, 0.345) x4
Na (0.339, 0.000, 0.671) x2
Na (0.342, 0.347, 0.749) x4
Na (0.430, 0.154, 0.920) x4
Tl (0.005, 0.193, 0.147) x4
Tl (0.094, 0.097, 0.719) x4
Tl (0.111, 0.500, 0.138) x2
Tl (0.183, 0.193, 0.526) x4
Tl (0.224, 0.404, 0.971) x4
Tl (0.287, 0.095, 0.339) x4
Tl (0.309, 0.500, 0.523) x2
Pb (0.098, 0.500, 0.630) x2

***

# 3
This record from Alexandria via LeMat-Bulk describes a geometry-optimized KCePuBr6 structure. The functional is PBE.

Computed properties:
N(E_F) = 52.8 states/eV/cell
electronic total energy = -92.79 eV per cell
M_tot = 7.00 μB per formula unit
E_form (uncorrected) = -14.993 eV per formula unit

abc: 7.234 7.234 13.880
angles: 90.00 90.00 90.00
Space group P4_2nm (No. 102)
Asymmetric unit:
K (0.000, 0.000, 0.000) x2
Ce (0.000, 0.000, 0.334) x2
Pu (0.000, 0.000, 0.667) x2
Br (0.183, 0.183, 0.500) x4
Br (0.208, 0.208, 0.183) x4
Br (0.209, 0.209, 0.819) x4

***

# 4
This record from Alexandria via LeMat-Bulk describes a geometry-optimized Sm3CdO6 structure. The functional is PBE.

Computed properties:
N(E_F) = 34.3 states/eV/cell
electronic total energy = -287.31 eV per cell
M_tot = 1.02 μB per formula unit
E_form (uncorrected) = -27.005 eV per formula unit

abc: 9.234 11.432 5.762
angles: 90.00 90.00 90.00
Space group Cmc2_1 (No. 36)
Asymmetric unit:
Sm (0.000, 0.102, 0.000) x4
Sm (0.198, 0.388, 0.941) x8
Cd (0.000, 0.334, 0.433) x4
O (0.000, 0.278, 0.792) x4
O (0.000, 0.487, 0.169) x4
O (0.160, 0.017, 0.722) x8
O (0.163, 0.237, 0.218) x8

***

# 5
This record from Alexandria via LeMat-Bulk describes a geometry-optimized SnIrF3 structure. The functional is PBE.

Computed properties:
N(E_F) = 2.5 states/eV/cell
energy above the lowest structure with this stoichiometry = 0 meV/atom
electronic total energy = -21.85 eV per cell
M_tot = 0.00 μB per formula unit
E_form (uncorrected) = -3.367 eV per formula unit

abc: 4.334 4.334 4.334
angles: 90.00 90.00 90.00
Space group Pm-3m (No. 221)
Asymmetric unit:
Sn (0.000, 0.000, 0.000) x1
Ir (0.500, 0.500, 0.500) x1
F (0.000, 0.500, 0.500) x3

***

# 6
This record from Alexandria via LeMat-Bulk describes a geometry-optimized ZnCdAuO4 structure. The functional is PBE.

Computed properties:
N(E_F) = 19.4 states/eV/cell
electronic total energy = -111.06 eV per cell
M_tot = 0.62 μB per formula unit
E_form (uncorrected) = -2.465 eV per formula unit

abc: 6.086 10.104 6.345
angles: 90.00 90.00 90.00
Space group Cmcm (No. 63)
Asymmetric unit:
Zn (0.000, 0.177, 0.250) x4
Cd (0.000, 0.500, 0.000) x4
Au (0.000, 0.136, 0.750) x4
O (0.000, 0.278, 0.512) x8
O (0.216, 0.020, 0.250) x8

***

# 7
This record from Alexandria via LeMat-Bulk describes a geometry-optimized RbPmSe2O6 structure. The functional is PBE.

Computed properties:
N(E_F) = 0.0 states/eV/cell
electronic total energy = -240.16 eV per cell
M_tot = 0.00 μB per formula unit
E_form (uncorrected) = -17.603 eV per formula unit

abc: 8.789 10.789 7.857
angles: 90.00 108.63 90.00
Space group C2/c (No. 15)
Asymmetric unit:
Rb (0.000, 0.161, 0.250) x4
Pm (0.000, 0.443, 0.750) x4
Se (0.207, 0.123, 0.804) x8
O (0.088, 0.390, 0.069) x8
O (0.184, 0.276, 0.744) x8
O (0.226, 0.046, 0.620) x8

***

# 8
This record from Alexandria via LeMat-Bulk describes a geometry-optimized CsCaAg structure. The functional is PBE.

Computed properties:
N(E_F) = 6.4 states/eV/cell
formation energy = 0.025 eV per atom
electronic total energy = -22.53 eV per cell
M_tot = 0.00 μB per formula unit

abc: 16.161 5.604 5.651
angles: 90.00 90.00 90.00
Space group Amm2 (No. 38)
Asymmetric unit:
Cs (0.150, 0.000, 0.000) x4
Ca (0.394, 0.000, 0.502) x4
Ag (0.000, 0.000, 0.500) x2
Ag (0.500, 0.000, 0.002) x2

***

# 9
This record from Alexandria via LeMat-Bulk describes a geometry-optimized HfGeAu2 structure. The functional is PBE.

Computed properties:
N(E_F) = 3.0 states/eV/cell
formation energy = -0.298 eV per atom
electronic total energy = -44.64 eV per cell
M_tot = 0.00 μB per formula unit

abc: 3.720 7.044 5.812
angles: 90.00 90.14 90.00
Space group P2_1/m (No. 11)
Asymmetric unit:
Hf (0.000, 0.250, 0.053) x2
Ge (0.003, 0.750, 0.480) x2
Au (0.498, 0.035, 0.758) x4

***

# 10
This record from Alexandria via LeMat-Bulk describes a geometry-optimized RhPbI2O structure. The functional is PBE.

Computed properties:
N(E_F) = 6.3 states/eV/cell
energy above the lowest structure with this stoichiometry = 718 meV/atom
electronic total energy = -16.74 eV per cell
M_tot = 1.94 μB per formula unit
E_form (uncorrected) = 2.381 eV per formula unit

abc: 6.174 6.174 4.155
angles: 90.00 90.00 90.00
Space group P4/mmm (No. 123)
Asymmetric unit:
Rh (0.000, 0.000, 0.000) x1
Pb (0.500, 0.500, 0.500) x1
I (0.000, 0.500, 0.500) x2
O (0.500, 0.500, 0.000) x1

***

# 11
This record from Alexandria via LeMat-Bulk describes a geometry-optimized ReBi2Pb structure. The functional is PBE.

Computed properties:
N(E_F) = 15.4 states/eV/cell
formation energy = 1.001 eV per atom
electronic total energy = -59.74 eV per cell
M_tot = 1.33 μB per formula unit

abc: 3.2301 3.2301 36.0738
angles: 90.00 90.00 120.00
Space group R-3m (No. 166, hexagonal axes)
Asymmetric unit:
Re (0.0000, 0.0000, 0.0000) x3
Bi (0.0000, 0.0000, 0.0772) x6
Pb (0.0000, 0.0000, 0.5000) x3

***

# 12
This record from Alexandria via LeMat-Bulk describes a geometry-optimized Pr4GaGeCl2 structure. The functional is PBE.

Computed properties:
N(E_F) = 3.6 states/eV/cell
electronic total energy = -39.56 eV per cell
M_tot = 0.00 μB per formula unit
E_form (uncorrected) = -9.109 eV per formula unit

abc: 7.315 4.313 7.552
angles: 90.00 110.09 90.00
Space group P2/m (No. 10)
Asymmetric unit:
Pr (0.233, 0.000, 0.245) x2
Pr (0.237, 0.500, 0.748) x2
Ga (0.000, 0.000, 0.500) x1
Ge (0.000, 0.500, 0.000) x1
Cl (0.500, 0.000, 0.000) x1
Cl (0.500, 0.500, 0.500) x1